Entry from the Alexandria database: a geometry-optimized La2Ge4Ir3Pd structure (PBE).

Results
As for the size of the total moment: 0.0000 μB/atom. The crystal system is tetragonal. For the formation energy, the calculation gives -0.808 eV per atom. Its symmetry is P-4m2 (115). The calculated volume comes out at 193 Å³ per cell.

Unit cell a=4.350 b=4.350 c=10.186 alpha=90.00 beta=90.00 gamma=90.00
Sites, in units of the cell vectors:
La (0.500, 0.000, 0.241)
La (0.000, 0.500, 0.759)
Ge (0.500, 0.500, 0.000)
Ge (0.000, 0.000, 0.000)
Ge (0.500, 0.000, 0.632)
Ge (0.000, 0.500, 0.368)
Ir (0.000, 0.000, 0.500)
Ir (0.500, 0.000, 0.875)
Ir (0.000, 0.500, 0.125)
Pd (0.500, 0.500, 0.500)